(1)
This record from Alexandria via LeMat-Bulk describes Ca3Tb3MgTe8 after structural relaxation. The functional is PBE-GGA.

```
15
Lattice="8.783 0.000 0.000 -4.392 7.607 -0.027 0.000 -5.045 7.348" Properties=species:S:1:pos:R:3 pbc="T T T"
Ca 0.000 0.000 0.000
Ca -2.196 3.803 -0.013
Ca 2.196 3.803 -0.013
Tb 4.392 -2.523 3.674
Tb 2.196 1.281 3.661
Tb -2.196 1.281 3.661
Mg 0.000 -2.523 3.674
Te 0.000 2.542 1.859
Te 4.392 0.019 5.462
Te 4.392 2.583 1.913
Te 0.000 -0.021 5.408
Te 6.622 -1.281 1.927
Te -2.231 3.843 5.394
Te 2.161 -1.281 1.927
Te 2.231 3.843 5.394
```

Summary:
Raw formation energy (eV per formula unit): -21.0
Crystal system: trigonal

=====

(2)
This record from Alexandria via LeMat-Bulk describes ZnMoSe2 after structural relaxation. The functional is PBE-GGA.

```
4
Lattice="4.358 -0.004 0.003 3.096 3.067 0.003 0.443 0.182 5.571" Properties=species:S:1:pos:R:3 pbc="T T T"
Mo 5.922 2.434 4.182
Se 0.711 0.292 5.397
Se 3.680 1.512 2.963
Zn 1.974 0.811 1.394
```

Summary:
Raw formation energy (eV per formula unit): 0.2
Crystal system: monoclinic

=====

What did the second record say?
This record from Alexandria via LeMat-Bulk describes ZnMoSe2 after structural relaxation. The functional is PBE-GGA.

```
4
Lattice="4.358 -0.004 0.003 3.096 3.067 0.003 0.443 0.182 5.571" Properties=species:S:1:pos:R:3 pbc="T T T"
Mo 5.922 2.434 4.182
Se 0.711 0.292 5.397
Se 3.680 1.512 2.963
Zn 1.974 0.811 1.394
```

Summary:
Raw formation energy (eV per formula unit): 0.2
Crystal system: monoclinic

=====

> What is the raw formation energy in the first record?

-21.0 eV per formula unit